No. 1
Compound: PmHfZnPt
Source: Alexandria
Functional: PBE
Structure: relaxed

Lattice parameters (Å, degrees): 4.903 4.903 4.903 60.00 60.00 60.00
Fractional positions:
Zn 0.000 0.000 0.000
Hf 0.250 0.250 0.250
Pt 0.500 0.500 0.500
Pm 0.750 0.750 0.750

Calculated values
Calculated formation energy = -48.1 kJ per mole of atoms
SG = F-43m, No. 216
Spin magnetization = 0.0 μB/f.u.


No. 2
Compound: PmPuHf
Source: Alexandria
Functional: PBE
Structure: relaxed

Lattice parameters (Å, degrees): 3.344 3.344 8.323 90.00 90.00 120.00
Last column: magnetic moment on the atom in μB.
Fractional positions:
Pm 0.000 0.000 0.990  0.02
Hf 0.333 0.667 0.658  -0.07
Pu 0.667 0.333 0.352  5.33

Calculated values
Calculated formation energy = 22.2 kJ per mole of atoms
SG = P3m1, No. 156
Spin magnetization = 5.6 μB/f.u.


No. 3
Compound: PmPuHf2
Source: Alexandria
Functional: PBE
Structure: relaxed

Lattice parameters (Å, degrees): 3.283 3.283 9.402 90.00 90.00 90.00
Last column: magnetic moment on the atom in μB.
Fractional positions:
Pm 0.500 0.500 0.500  0.05
Hf 0.000 0.000 0.772  -0.04
Hf 0.000 0.000 0.228  -0.04
Pu 0.500 0.500 0.000  5.04

Calculated values
Calculated formation energy = 19.2 kJ per mole of atoms
SG = P4/mmm, No. 123
Spin magnetization = 5.2 μB/f.u.